# 1
Density functional theory data (PBE) for La2InTe3 after structural relaxation.

Calculated values
The mass density is 6059 kg/m3. Its formation energy without anion corrections is -1.22 eV/atom. The value obtained for the spin magnetization is 0.001 μB/cell.

```
data_La2InTe3
_chemical_formula_sum 'La8 In4 Te12'
_space_group_name_H-M_alt 'C 1 2/c 1'
_space_group_IT_number 15
_cell_length_a 14.9354
_cell_length_b 6.5517
_cell_length_c 9.1237
_cell_angle_alpha 90.00
_cell_angle_beta 107.79
_cell_angle_gamma 90.00
loop_
_space_group_symop_operation_xyz
'x,y,z'
'-x,-y,-z'
'-x,y,-z+1/2'
'x,-y,z+1/2'
'x+1/2,y+1/2,z'
'-x+1/2,-y+1/2,-z'
'-x+1/2,y+1/2,-z+1/2'
'x+1/2,-y+1/2,z+1/2'
loop_
_atom_site_label
_atom_site_type_symbol
_atom_site_fract_x
_atom_site_fract_y
_atom_site_fract_z
La1 La 0.1634 0.0001 0.0817
In1 In 0.0000 0.4962 0.2500
Te1 Te 0.0000 0.0042 0.7500
Te2 Te 0.1722 0.5001 0.0861
```


# 2
Density functional theory data (PBE) for Ca2S2O7 after structural relaxation.

Calculated values
The mass density is 2807 kg/m3. Its formation energy without anion corrections is -2.13 eV/atom. The value obtained for the spin magnetization is 0.000 μB/cell.

```
data_Ca2S2O7
_chemical_formula_sum 'Ca4 S4 O14'
_space_group_name_H-M_alt 'P -1'
_space_group_IT_number 2
_cell_length_a 5.3746
_cell_length_b 6.4007
_cell_length_c 9.4546
_cell_angle_alpha 105.47
_cell_angle_beta 97.40
_cell_angle_gamma 100.15
loop_
_space_group_symop_operation_xyz
'x,y,z'
'-x,-y,-z'
loop_
_atom_site_label
_atom_site_type_symbol
_atom_site_fract_x
_atom_site_fract_y
_atom_site_fract_z
Ca1 Ca 0.1749 0.2886 0.4943
Ca2 Ca 0.1881 0.2776 0.9592
S1 S 0.3172 0.7706 0.8141
S2 S 0.3314 0.7340 0.3060
O1 O 0.1207 0.8836 0.8967
O2 O 0.1499 0.6233 0.6617
O3 O 0.1693 0.6120 0.1571
O4 O 0.1876 0.8988 0.3840
O5 O 0.3724 0.5802 0.3971
O6 O 0.3885 0.6076 0.8984
O7 O 0.4080 0.1589 0.7069
```


# 3
Density functional theory data (PBE) for Na6Tl3Sn after structural relaxation.

Calculated values
The mass density is 5023 kg/m3. For the energy above the most stable polymorph in this dataset, the calculation gives 0.0 kJ/mol of atoms. Its formation energy is -1.079 eV per formula unit. The value obtained for the spin magnetization is 0.000 μB/cell.

```
data_Na6Tl3Sn
_chemical_formula_sum 'Na12 Tl6 Sn2'
_space_group_name_H-M_alt 'P 1 21/m 1'
_space_group_IT_number 11
_cell_length_a 9.1559
_cell_length_b 5.4954
_cell_length_c 12.1373
_cell_angle_alpha 90.00
_cell_angle_beta 109.66
_cell_angle_gamma 90.00
loop_
_space_group_symop_operation_xyz
'x,y,z'
'-x,-y,-z'
'-x,y+1/2,-z'
'x,-y+1/2,z'
loop_
_atom_site_label
_atom_site_type_symbol
_atom_site_fract_x
_atom_site_fract_y
_atom_site_fract_z
Na1 Na 0.0060 0.2500 0.3440
Na2 Na 0.0106 0.2500 0.8389
Na3 Na 0.2199 0.7500 0.9859
Na4 Na 0.2273 0.2500 0.6441
Na5 Na 0.4032 0.2500 0.4329
Na6 Na 0.4307 0.7500 0.7792
Tl1 Tl 0.1862 0.2500 0.1377
Tl2 Tl 0.1939 0.7500 0.4708
Tl3 Tl 0.3711 0.7500 0.2723
Sn1 Sn 0.3998 0.2500 0.9400
```


# 4
Density functional theory data (PBE) for Sr4Re after structural relaxation.

Calculated values
The mass density is 4143 kg/m3. For the energy above the most stable polymorph in this dataset, the calculation gives 62.8 kJ/mol of atoms. Its formation energy is 6.425 eV per formula unit. The value obtained for the spin magnetization is 5.909 μB/cell.

```
data_Sr4Re
_chemical_formula_sum 'Sr8 Re2'
_space_group_name_H-M_alt 'I 4/m m m'
_space_group_IT_number 139
_space_group_name_Hall '-I 4 2'
_cell_length_a 4.5750
_cell_length_b 4.5750
_cell_length_c 20.5522
_cell_angle_alpha 90.00
_cell_angle_beta 90.00
_cell_angle_gamma 90.00
loop_
_atom_site_label
_atom_site_type_symbol
_atom_site_fract_x
_atom_site_fract_y
_atom_site_fract_z
Sr1 Sr 0.0000 0.0000 0.0824
Sr2 Sr 0.0000 0.5000 0.2500
Re1 Re 0.0000 0.0000 0.5000
```


# 5
Density functional theory data (PBE) for BC2 after structural relaxation.

Calculated values
The mass density is 3029 kg/m3. For the energy above the most stable polymorph in this dataset, the calculation gives 9.1 kJ/mol of atoms. Its formation energy is 1.003 eV per formula unit. The value obtained for the spin magnetization is 0.000 μB/cell.

```
data_BC2
_chemical_formula_sum 'B8 C16'
_space_group_name_H-M_alt 'C 1 m 1'
_space_group_IT_number 8
_cell_length_a 13.6939
_cell_length_b 2.4938
_cell_length_c 4.7025
_cell_angle_alpha 90.00
_cell_angle_beta 107.96
_cell_angle_gamma 90.00
loop_
_space_group_symop_operation_xyz
'x,y,z'
'x,-y,z'
'x+1/2,y+1/2,z'
'x+1/2,-y+1/2,z'
loop_
_atom_site_label
_atom_site_type_symbol
_atom_site_fract_x
_atom_site_fract_y
_atom_site_fract_z
B1 B 0.0000 0.0000 0.0000
B2 B 0.0573 0.5000 0.2703
B3 B 0.2175 0.0000 0.5812
B4 B 0.3860 0.0000 0.4201
C1 C 0.0125 0.5000 0.5517
C2 C 0.0537 0.0000 0.7331
C3 C 0.1741 0.0000 0.8693
C4 C 0.1780 0.5000 0.3460
C5 C 0.2150 0.5000 0.0692
C6 C 0.3350 0.5000 0.1713
C7 C 0.3461 0.0000 0.7106
C8 C 0.3743 0.5000 0.8997
```


# 6
Density functional theory data (PBE) for ZnNiAgAu after structural relaxation.

Calculated values
The mass density is 11726 kg/m3. Its formation energy is -0.065 eV per formula unit. The value obtained for the spin magnetization is 0.001 μB/cell.

```
data_ZnNiAgAu
_chemical_formula_sum 'Zn4 Ni4 Ag4 Au4'
_space_group_name_H-M_alt 'F -4 3 m'
_space_group_IT_number 216
_space_group_name_Hall 'F -4 2 3'
_cell_length_a 6.2401
_cell_length_b 6.2401
_cell_length_c 6.2401
_cell_angle_alpha 90.00
_cell_angle_beta 90.00
_cell_angle_gamma 90.00
loop_
_atom_site_label
_atom_site_type_symbol
_atom_site_fract_x
_atom_site_fract_y
_atom_site_fract_z
Zn1 Zn 0.0000 0.0000 0.0000
Ni1 Ni 0.0000 0.0000 0.5000
Ag1 Ag 0.2500 0.2500 0.2500
Au1 Au 0.2500 0.2500 0.7500
```


What is the mass density in the fourth record? 4143 kg/m3


mass density of number 3 (Na6Tl3Sn)? 5023 kg/m3


Copy entry 1 word for word.
Density functional theory data (PBE) for La2InTe3 after structural relaxation.

Calculated values
The mass density is 6059 kg/m3. Its formation energy without anion corrections is -1.22 eV/atom. The value obtained for the spin magnetization is 0.001 μB/cell.

```
data_La2InTe3
_chemical_formula_sum 'La8 In4 Te12'
_space_group_name_H-M_alt 'C 1 2/c 1'
_space_group_IT_number 15
_cell_length_a 14.9354
_cell_length_b 6.5517
_cell_length_c 9.1237
_cell_angle_alpha 90.00
_cell_angle_beta 107.79
_cell_angle_gamma 90.00
loop_
_space_group_symop_operation_xyz
'x,y,z'
'-x,-y,-z'
'-x,y,-z+1/2'
'x,-y,z+1/2'
'x+1/2,y+1/2,z'
'-x+1/2,-y+1/2,-z'
'-x+1/2,y+1/2,-z+1/2'
'x+1/2,-y+1/2,z+1/2'
loop_
_atom_site_label
_atom_site_type_symbol
_atom_site_fract_x
_atom_site_fract_y
_atom_site_fract_z
La1 La 0.1634 0.0001 0.0817
In1 In 0.0000 0.4962 0.2500
Te1 Te 0.0000 0.0042 0.7500
Te2 Te 0.1722 0.5001 0.0861
```


Number 1 is which compound? La2InTe3